! NdErMnIn, optimized geometry, DFT PBE; values from VASP
! Space group ... No. 216
! Volume ... 25.772 Å³/atom
! Uncorrected energy ... -5.385 eV per atom
&SYSTEM
  ibrav = 0, nat = 4, ntyp = 4
/
ATOMIC_SPECIES
Nd 144.24 Nd.upf
Er 167.26 Er.upf
Mn 54.94 Mn.upf
In 114.82 In.upf
ATOMIC_POSITIONS crystal
Nd 0.000 0.000 0.000
Er 0.500 0.500 0.500
Mn 0.750 0.750 0.750
In 0.250 0.250 0.250
CELL_PARAMETERS angstrom
0.000 3.722 3.722
3.722 0.000 3.722
3.722 3.722 0.000